(1)
# Fe2HgI6

A geometry-optimized Fe2HgI6 structure (PBE, Alexandria via LeMat-Bulk).

The space group is C2/c (No. 15) and the conventional cell measures 15.415, 15.636 and 7.227 Å, with angles of 90.00, 113.03 and 90.00 degrees. The distinct sites, in fractional coordinates, are Fe at (0.217, 0.077, 0.326), Hg at (0.000, 0.291, 0.250), I at (0.105, 0.404, 0.590), I at (0.124, 0.203, 0.101) and I at (0.167, 0.070, 0.633).

The final energy comes out at -3.105 eV per atom. For the spin magnetization, the calculation gives 32.000 μB/cell.

=====

(2)
# FeHgI3

A geometry-optimized FeHgI3 structure (PBE, Alexandria via LeMat-Bulk).

The space group is Cmc2_1 (No. 36) and the conventional cell measures 7.731, 15.254 and 6.467 Å, with angles of 90.00, 90.00 and 90.00 degrees. The distinct sites, in fractional coordinates, are Fe at (0.000, 0.237, 0.000), Hg at (0.000, 0.388, 0.288), I at (0.000, 0.091, 0.814) and I at (0.248, 0.329, 0.802).

For the spin magnetization, the calculation gives 19.559 μB/cell. The calculation puts the polymorph energy (0 for the lowest one) at 0 meV per atom.

=====

(3)
# FeHg2I

A geometry-optimized FeHg2I structure (PBE, Alexandria via LeMat-Bulk).

The space group is Fm-3m (No. 225) and the conventional cell measures 7.341, 7.341 and 7.341 Å, with angles of 90.00, 90.00 and 90.00 degrees. The distinct sites, in fractional coordinates, are Fe at (0.000, 0.000, 0.000), Hg at (0.250, 0.250, 0.250) and I at (0.000, 0.000, 0.500).

For the spin magnetization, the calculation gives 0.886 μB/cell. The calculation puts the polymorph energy (0 for the lowest one) at 708 meV per atom.

=====

(4)
# Fe2HgI

A geometry-optimized Fe2HgI structure (PBE, Alexandria via LeMat-Bulk).

The space group is I-42d (No. 122) and the conventional cell measures 7.220, 7.220 and 6.646 Å, with angles of 90.00, 90.00 and 90.00 degrees. The distinct sites, in fractional coordinates, are Fe at (0.244, 0.250, 0.125), Hg at (0.000, 0.000, 0.500) and I at (0.000, 0.000, 0.000).

For the spin magnetization, the calculation gives 24.524 μB/cell. The calculation puts the polymorph energy (0 for the lowest one) at 0 meV per atom.

=====

Among the records above, which one has the lowest spin magnetization?
FeHg2I

=====

Look up the spin magnetization of the third one.
0.886 μB/cell

=====

Which formula does entry 3 have?
FeHg2I